# 1
First-principles (GGA-PBE) data for an optimized crystal structure of Li3TcPb, as listed in Alexandria via LeMat-Bulk.

a = 4.8103 Å, b = 4.8103 Å, c = 4.8103 Å
α = 90.00°, β = 90.00°, γ = 90.00°
Last column: magnetic moment on the atom in μB.
Atoms (fractional coordinates):
Pb1 0.5000 0.5000 0.5000  -0.09
Tc1 0.0000 0.0000 0.0000  1.84
Li1 0.0000 0.5000 0.0000  0.00
Li2 0.0000 0.0000 0.5000  0.00
Li3 0.5000 0.0000 0.0000  0.00

Calculated values
- SG = Pm-3m (221)
- spin magnetization (μB per cell) = 1.99
- DOS(E_F) (states/eV per cell) = 14.922
- formation energy from the elements (meV/atom) = 910

***

# 2
First-principles (GGA-PBE) data for an optimized crystal structure of Li4TcPb, as listed in Alexandria via LeMat-Bulk.

a = 5.0465 Å, b = 5.0465 Å, c = 5.0465 Å
α = 60.00°, β = 60.00°, γ = 60.00°
Last column: magnetic moment on the atom in μB.
Atoms (fractional coordinates):
Li1 0.8810 0.3730 0.3730  -0.01
Li2 0.3730 0.3730 0.8810  -0.01
Pb1 0.7500 0.7500 0.7500  -0.01
Li3 0.3730 0.8810 0.3730  -0.01
Tc1 0.0000 0.0000 0.0000  0.88
Li4 0.3730 0.3730 0.3730  -0.01

Calculated values
- SG = F-43m (216)
- spin magnetization (μB per cell) = 1.02
- DOS(E_F) (states/eV per cell) = 4.580
- formation energy from the elements (meV/atom) = 278